Entry 1:
Density functional theory data (PBE-GGA) for a relaxed structure of Nb2Sb3Mo4C3.

Cell lengths 5.7001, 5.7001, 13.4689 Å; angles 102.18, 102.18, 59.92 degrees
Element x y z (fractional)
Mo (0.0262, 0.1943, 0.0806)
Sb (0.7660, 0.5842, 0.2502)
C (0.0000, 0.5000, 0.0000)
Mo (0.8057, 0.9738, 0.4194)
Mo (0.6934, 0.8598, 0.0808)
Mo (0.8598, 0.6934, 0.5808)
Sb (0.5842, 0.7660, 0.7502)
C (0.5000, 0.0000, 0.5000)
Sb (0.9340, 0.0660, 0.7500)
Nb (0.4702, 0.6370, 0.4112)
Mo (0.9738, 0.8057, 0.9194)
C (0.1647, 0.6676, 0.5000)
Sb (0.4158, 0.2340, 0.2498)
Nb (0.6370, 0.4702, 0.9112)
Mo (0.3066, 0.1402, 0.9192)
Mo (0.1402, 0.3066, 0.4192)
C (0.6676, 0.1647, 0.0000)
C (0.3324, 0.8353, 0.0000)
Nb (0.5298, 0.3630, 0.5888)
C (0.8353, 0.3324, 0.5000)
Sb (0.2340, 0.4158, 0.7498)
Nb (0.3630, 0.5298, 0.0888)
Mo (0.1943, 0.0262, 0.5806)
Sb (0.0660, 0.9340, 0.2500)

Properties
Total DFT energy (no corrections) ... -8.72 eV per atom
Density ... 8.8 g/cm³

=====

Entry 2:
Density functional theory data (PBE-GGA) for a relaxed structure of Nb4Sb3Mo2C3.

Cell lengths 5.7562, 5.7562, 13.5398 Å; angles 102.31, 102.31, 60.00 degrees
Element x y z (fractional)
Nb (0.1385, 0.3038, 0.4131)
Nb (0.0284, 0.1964, 0.0867)
C (0.0000, 0.5000, 0.0000)
Mo (0.3607, 0.5271, 0.0800)
Mo (0.5271, 0.3607, 0.5800)
Sb (0.7364, 0.5834, 0.2498)
Nb (0.3038, 0.1385, 0.9131)
Nb (0.6962, 0.8615, 0.0869)
Mo (0.6393, 0.4729, 0.9200)
C (0.6657, 0.1678, 0.9999)
Nb (0.9716, 0.8036, 0.9133)
C (0.1678, 0.6657, 0.4999)
C (0.3343, 0.8322, 0.0001)
Sb (0.4166, 0.2636, 0.2502)
Mo (0.4729, 0.6393, 0.4200)
Nb (0.8615, 0.6962, 0.5869)
Sb (0.2636, 0.4166, 0.7502)
C (0.8322, 0.3343, 0.5001)
Sb (0.0965, 0.9035, 0.2500)
Nb (0.1964, 0.0284, 0.5867)
C (0.5000, 0.0000, 0.5000)
Sb (0.5834, 0.7364, 0.7498)
Nb (0.8036, 0.9716, 0.4133)
Sb (0.9035, 0.0965, 0.7500)

Properties
Total DFT energy (no corrections) ... -8.74 eV per atom
Density ... 8.5 g/cm³

=====

Entry 3:
Density functional theory data (PBE-GGA) for a relaxed structure of Nb4Si3Mo2C3.

Cell lengths 5.4954, 5.4954, 12.9065 Å; angles 102.32, 102.32, 59.97 degrees
Element x y z (fractional)
C (0.5000, 0.0000, 0.0000)
C (0.0000, 0.5000, 0.5000)
C (0.1586, 0.6707, 0.0000)
Mo (0.3597, 0.5287, 0.5856)
Si (0.7062, 0.5853, 0.7506)
Si (0.4147, 0.2938, 0.7494)
Mo (0.6403, 0.4713, 0.4144)
Nb (0.1320, 0.3011, 0.8992)
Mo (0.4713, 0.6403, 0.9144)
Si (0.8742, 0.1258, 0.2500)
Nb (0.8003, 0.9670, 0.8993)
C (0.3293, 0.8414, 0.5000)
Si (0.2938, 0.4147, 0.2494)
Nb (0.9670, 0.8003, 0.3993)
Mo (0.5287, 0.3597, 0.0856)
Nb (0.3011, 0.1320, 0.3992)
Si (0.1258, 0.8742, 0.7500)
Si (0.5853, 0.7062, 0.2506)
C (0.6707, 0.1586, 0.5000)
Nb (0.8680, 0.6989, 0.1008)
C (0.8414, 0.3293, 0.0000)
Nb (0.6989, 0.8680, 0.6008)
Nb (0.1997, 0.0330, 0.1007)
Nb (0.0330, 0.1997, 0.6007)

Properties
Total DFT energy (no corrections) ... -9.25 eV per atom
Density ... 6.9 g/cm³

=====

Entry 4:
Density functional theory data (PBE-GGA) for a relaxed structure of Nb2Si3Mo4C3.

Cell lengths 5.4296, 5.4296, 12.8561 Å; angles 102.18, 102.18, 60.12 degrees
Element x y z (fractional)
C (0.3381, 0.8239, 0.0001)
Mo (0.6969, 0.8643, 0.0898)
C (0.5000, 0.0000, 0.5000)
Nb (0.5341, 0.3658, 0.6031)
Nb (0.3658, 0.5341, 0.1031)
Mo (0.9690, 0.8052, 0.9100)
Mo (0.0310, 0.1948, 0.0900)
Mo (0.8643, 0.6969, 0.5898)
Mo (0.1357, 0.3031, 0.4102)
Si (0.5836, 0.7832, 0.7492)
C (0.1761, 0.6619, 0.4999)
Mo (0.3031, 0.1357, 0.9102)
C (0.0000, 0.5000, 0.0000)
Nb (0.4659, 0.6342, 0.3969)
Si (0.0510, 0.9490, 0.2500)
Nb (0.6342, 0.4659, 0.8969)
C (0.8239, 0.3381, 0.5001)
Mo (0.8052, 0.9690, 0.4100)
Mo (0.1948, 0.0310, 0.5900)
Si (0.4164, 0.2168, 0.2508)
C (0.6619, 0.1761, 0.9999)
Si (0.2168, 0.4164, 0.7508)
Si (0.7832, 0.5836, 0.2492)
Si (0.9490, 0.0510, 0.7500)

Properties
Total DFT energy (no corrections) ... -9.23 eV per atom
Density ... 7.2 g/cm³

=====

Entry 5:
Density functional theory data (PBE-GGA) for a relaxed structure of Nb2Zn3Mo4C3.

Cell lengths 5.3186, 5.3186, 13.8977 Å; angles 101.22, 101.22, 60.02 degrees
Element x y z (fractional)
Mo (0.9716, 0.8065, 0.4183)
C (0.0000, 0.5000, 0.5000)
C (0.6610, 0.1784, 0.5000)
Nb (0.4663, 0.6354, 0.9007)
Mo (0.1375, 0.3063, 0.9184)
Mo (0.6937, 0.8625, 0.5816)
C (0.1784, 0.6610, 0.0000)
Mo (0.3063, 0.1375, 0.4184)
Zn (0.5850, 0.8961, 0.2491)
C (0.8216, 0.3390, 0.0000)
Mo (0.0284, 0.1935, 0.5817)
Mo (0.8065, 0.9716, 0.9183)
C (0.5000, 0.0000, 0.0000)
Mo (0.8625, 0.6937, 0.0816)
C (0.3390, 0.8216, 0.5000)
Zn (0.8961, 0.5850, 0.7491)
Nb (0.3646, 0.5337, 0.5993)
Zn (0.0694, 0.9306, 0.2500)
Zn (0.9306, 0.0694, 0.7500)
Zn (0.1039, 0.4150, 0.2509)
Zn (0.4150, 0.1039, 0.7509)
Nb (0.6354, 0.4663, 0.4007)
Nb (0.5337, 0.3646, 0.0993)
Mo (0.1935, 0.0284, 0.0817)

Properties
Total DFT energy (no corrections) ... -8.07 eV per atom
Density ... 8.0 g/cm³

=====

Entry 6:
Density functional theory data (PBE-GGA) for a relaxed structure of Nd2MoC2.

Cell lengths 5.8374, 5.8374, 10.3629 Å; angles 90.00, 90.00, 90.00 degrees
Element x y z (fractional)
C (0.0000, 0.5000, 0.5000)
Nd (0.8020, 0.8020, 0.3443)
C (0.5000, 0.5000, 0.3555)
Nd (0.1980, 0.1980, 0.6557)
C (0.0000, 0.5000, 0.0000)
C (0.0000, 0.0000, 0.8555)
Nd (0.1980, 0.1980, 0.3443)
C (0.5000, 0.0000, 0.5000)
Nd (0.3020, 0.6980, 0.1557)
C (0.0000, 0.0000, 0.1445)
Nd (0.8020, 0.8020, 0.6557)
Mo (0.6756, 0.3244, 0.5000)
Mo (0.3244, 0.6756, 0.5000)
Mo (0.1756, 0.1756, 0.0000)
Nd (0.3020, 0.6980, 0.8443)
Nd (0.6980, 0.3020, 0.1557)
C (0.5000, 0.0000, 0.0000)
Nd (0.6980, 0.3020, 0.8443)
Mo (0.8244, 0.8244, 0.0000)
C (0.5000, 0.5000, 0.6445)

Properties
Total DFT energy (no corrections) ... -7.95 eV per atom
Density ... 7.7 g/cm³

=====

Entry 7:
Density functional theory data (PBE-GGA) for a relaxed structure of NdTmSi2Mo2C.

Cell lengths 5.9125, 5.9125, 7.2148 Å; angles 123.58, 123.58, 38.00 degrees
Element x y z (fractional)
Si (0.8681, 0.8681, 0.3361)
Si (0.1323, 0.1323, 0.6702)
C (0.9963, 0.9963, 0.9881)
Mo (0.7935, 0.7935, 0.9157)
Tm (0.4273, 0.4273, 0.7077)
Nd (0.5773, 0.5773, 0.3011)
Mo (0.2052, 0.2052, 0.0810)

Properties
Total DFT energy (no corrections) ... -7.84 eV per atom
Density ... 7.6 g/cm³

=====

Entry 8:
Density functional theory data (PBE-GGA) for a relaxed structure of NdYSi2Mo2C.

Cell lengths 5.9231, 5.9231, 7.2507 Å; angles 123.57, 123.57, 38.16 degrees
Element x y z (fractional)
Y (0.5741, 0.5741, 0.2954)
Mo (0.2063, 0.2063, 0.0828)
C (0.0019, 0.0019, 0.0064)
Si (0.8670, 0.8670, 0.3294)
Si (0.1325, 0.1325, 0.6667)
Mo (0.7947, 0.7947, 0.9193)
Nd (0.4235, 0.4235, 0.7000)

Properties
Total DFT energy (no corrections) ... -8.13 eV per atom
Density ... 6.4 g/cm³